(1)
Material: Li12Mg6Ir
Method: DFT, PBE
State: optimized geometry

The structure belongs to space group R-3 (No. 148, hexagonal axes); the cell edges are 10.3796, 10.3796 and 12.2472 Å and the angles 90.00°, 90.00° and 120.00°. The distinct sites, in fractional coordinates, are Li at (0.0399, 0.8662, 0.3152), Li at (0.0634, 0.2054, 0.9069), Mg at (0.0427, 0.5982, 0.2110) and Ir at (0.0000, 0.0000, 0.5000).

The crystal system is trigonal. Its density of states at the Fermi level is 28.5 states/eV per cell. The value obtained for the total DFT energy (no corrections) is -127.25 eV/cell.


(2)
Material: Li2MgIr
Method: DFT, PBE
State: optimized geometry

The structure belongs to space group C2/m (No. 12); the cell edges are 9.342, 2.920 and 4.593 Å and the angles 90.00°, 102.37° and 90.00°. The distinct sites, in fractional coordinates, are Li at (0.239, 0.000, 0.216), Mg at (0.000, 0.000, 0.500) and Ir at (0.000, 0.500, 0.000).

The crystal system is monoclinic. Its density of states at the Fermi level is 5.4 states/eV per cell. The value obtained for the total DFT energy (no corrections) is -29.82 eV/cell.